{
  "formula": "YAlAgPt",
  "functional": "PBE",
  "state": "optimized geometry",
  "cell": [[0.000, 3.366, 3.366], [3.366, 0.000, 3.366], [3.366, 3.366, 0.000]],
  "species": ["Y", "Al", "Ag", "Pt"],
  "fractional_positions": [[0.000, 0.000, 0.000], [0.500, 0.500, 0.500], [0.750, 0.750, 0.750], [0.250, 0.250, 0.250]],
  "crystal_system": "cubic",
  "total_magnetization_mub_per_fu": 0.00,
  "total_energy_ev_per_atom": -5.451
}

{
  "formula": "AlZnAgPt",
  "functional": "PBE",
  "state": "optimized geometry",
  "cell": [[0.000, 3.130, 3.130], [3.130, 0.000, 3.130], [3.130, 3.130, 0.000]],
  "species": ["Al", "Zn", "Ag", "Pt"],
  "fractional_positions": [[0.000, 0.000, 0.000], [0.500, 0.500, 0.500], [0.250, 0.250, 0.250], [0.750, 0.750, 0.750]],
  "crystal_system": "cubic",
  "total_magnetization_mub_per_fu": 0.00,
  "total_energy_ev_per_atom": -3.913
}

{
  "formula": "PuAl2Ag",
  "functional": "PBE",
  "state": "optimized geometry",
  "cell": [[1.457, 0.841, 10.559], [-1.457, 0.841, 10.559], [0.000, -1.682, 10.559]],
  "species": ["Pu", "Al", "Al", "Ag"],
  "fractional_positions": [[0.000, 0.000, 0.000], [0.094, 0.094, 0.094], [0.906, 0.906, 0.906], [0.500, 0.500, 0.500]],
  "crystal_system": "trigonal",
  "total_magnetization_mub_per_fu": 5.12,
  "total_energy_ev_per_atom": -5.951
}

{
  "formula": "Pu2AlAg",
  "functional": "PBE",
  "state": "optimized geometry",
  "cell": [[5.597, 0.000, 0.000], [0.000, 5.597, 0.000], [0.000, 0.000, 2.975]],
  "species": ["Pu", "Pu", "Al", "Ag"],
  "fractional_positions": [[0.000, 0.500, 0.000], [0.500, 0.000, 0.000], [0.000, 0.000, 0.500], [0.500, 0.500, 0.500]],
  "crystal_system": "tetragonal",
  "total_magnetization_mub_per_fu": 11.87,
  "total_energy_ev_per_atom": -8.810
}

{
  "formula": "PuAlAg4",
  "functional": "PBE",
  "state": "optimized geometry",
  "cell": [[0.000, 3.941, 3.941], [3.941, 0.000, 3.941], [3.941, 3.941, 0.000]],
  "species": ["Pu", "Al", "Ag", "Ag", "Ag", "Ag"],
  "fractional_positions": [[0.000, 0.000, 0.000], [0.250, 0.250, 0.250], [0.126, 0.625, 0.625], [0.625, 0.126, 0.625], [0.625, 0.625, 0.126], [0.625, 0.625, 0.625]],
  "crystal_system": "cubic",
  "total_magnetization_mub_per_fu": 5.51,
  "total_energy_ev_per_atom": -4.880
}

{
  "formula": "PuAl2Ag",
  "functional": "PBE",
  "state": "optimized geometry",
  "cell": [[3.101, 0.000, 0.000], [0.000, 3.101, 0.000], [0.000, 0.000, 7.998]],
  "species": ["Pu", "Al", "Al", "Ag"],
  "fractional_positions": [[0.000, 0.000, 0.000], [0.500, 0.500, 0.283], [0.500, 0.500, 0.717], [0.000, 0.000, 0.500]],
  "crystal_system": "tetragonal",
  "total_magnetization_mub_per_fu": 5.67,
  "total_energy_ev_per_atom": -6.323
}